[1]
# CdSb2ICl, relaxed, DFT PBE
data_CdSb2ICl
_chemical_formula_sum 'Cd1 Sb2 I1 Cl1'
_cell_length_a 5.607
_cell_length_b 5.607
_cell_length_c 5.754
_cell_angle_alpha 90.00
_cell_angle_beta 90.00
_cell_angle_gamma 90.00
_space_group_name_H-M_alt 'P 4/m m m'
_space_group_IT_number 123
_space_group_name_Hall '-P 4 2'
loop_
_atom_site_label
_atom_site_type_symbol
_atom_site_fract_x
_atom_site_fract_y
_atom_site_fract_z
Cd1 Cd 0.000 0.000 0.000
Sb1 Sb 0.000 0.500 0.000
I1 I 0.000 0.000 0.500
Cl1 Cl 0.500 0.500 0.500
# volume	180.9	Å³/cell
# VASP energy	-2.025	eV per atom
# DOS at the Fermi energy	4.41	states/eV per cell
# mass density	4.76	g cm⁻³
# E_form (uncorrected)	0.49	eV/atom

=====

[2]
# ZnGe2C, relaxed, DFT PBE
data_ZnGe2C
_chemical_formula_sum 'Zn4 Ge8 C4'
_cell_length_a 6.228
_cell_length_b 6.228
_cell_length_c 6.228
_cell_angle_alpha 90.00
_cell_angle_beta 90.00
_cell_angle_gamma 90.00
_space_group_name_H-M_alt 'F m -3 m'
_space_group_IT_number 225
_space_group_name_Hall '-F 4 2 3'
loop_
_atom_site_label
_atom_site_type_symbol
_atom_site_fract_x
_atom_site_fract_y
_atom_site_fract_z
Zn1 Zn 0.000 0.000 0.000
Ge1 Ge 0.250 0.250 0.250
C1 C 0.000 0.000 0.500
# volume	241.6	Å³/cell
# ΔH_f (0 K)	1.33	eV/atom
# VASP energy	-3.604	eV per atom
# DOS at the Fermi energy	5.97	states/eV per cell
# mass density	6.12	g cm⁻³